Record 1
An optimized crystal structure of CsCePdS2. Source: the Alexandria database, functional PBE.

The structure in POSCAR format:
```
CsCePdS2
1.0
4.951 0.000 0.000
0.000 8.249 0.489
0.000 -2.082 7.606
Ce S Cs Pd
2 4 2 2
direct
0.482 0.000 0.250 Ce
0.518 0.000 0.750 Ce
0.689 0.220 0.540 S
0.311 0.780 0.460 S
0.311 0.220 0.040 S
0.689 0.780 0.960 S
0.186 0.500 0.750 Cs
0.814 0.500 0.250 Cs
0.000 0.000 0.000 Pd
0.000 0.000 0.500 Pd
```

Computed properties:
- formation energy from raw total energies (meV/atom) = -1289

=====

Record 2
An optimized crystal structure of Na17Tl11Ga. Source: the Alexandria database, functional PBE.

The structure in POSCAR format:
```
Na17Tl11Ga
1.0
-8.097 6.016 -2.370
-1.428 -9.495 -3.895
0.909 -0.612 10.196
Na Tl Ga
17 11 1
direct
0.718 0.415 0.411 Na
0.995 0.995 0.338 Na
0.310 0.005 0.588 Na
0.679 0.679 0.274 Na
0.664 0.664 0.663 Na
0.005 0.310 0.588 Na
0.278 0.691 0.689 Na
0.691 0.278 0.689 Na
0.001 0.587 0.309 Na
0.411 0.411 0.718 Na
0.000 0.336 0.999 Na
0.587 0.001 0.309 Na
0.415 0.718 0.411 Na
0.309 0.585 0.004 Na
0.585 0.309 0.004 Na
0.336 0.000 0.999 Na
0.002 0.002 0.002 Na
0.194 0.383 0.372 Tl
0.618 0.808 0.999 Tl
0.808 0.618 0.999 Tl
0.814 0.002 0.619 Tl
0.001 0.619 0.808 Tl
0.202 0.202 0.832 Tl
0.383 0.194 0.372 Tl
0.002 0.814 0.619 Tl
0.812 0.192 0.194 Tl
0.192 0.812 0.194 Tl
0.619 0.001 0.808 Tl
0.369 0.369 0.190 Ga
```

Computed properties:
- energy relative to the elements (eV per atom) = -0.0974

=====

Record 3
An optimized crystal structure of TcSbH2. Source: the Alexandria database, functional PBE.

The structure in POSCAR format:
```
TcSbH2
1.0
-2.594 -0.939 2.180
-0.166 -2.929 -1.458
5.560 -2.972 5.335
Sb H Tc
2 4 2
direct
0.000 0.000 0.796 Sb
0.500 0.500 0.296 Sb
0.500 0.500 0.754 H
0.500 0.000 0.058 H
0.000 0.500 0.558 H
0.000 0.000 0.254 H
0.000 0.000 0.456 Tc
0.500 0.500 0.956 Tc
```

=====

Record 4
An optimized crystal structure of NdHo3Rh4. Source: the Alexandria database, functional PBE.

The structure in POSCAR format:
```
NdHo3Rh4
1.0
-1.635 2.915 3.534
-4.334 -0.845 2.039
1.489 -3.979 7.318
Ho Rh Nd
3 4 1
direct
0.248 0.248 0.255 Ho
0.500 0.500 0.500 Ho
0.752 0.752 0.745 Ho
0.873 0.873 0.381 Rh
0.377 0.377 0.868 Rh
0.623 0.623 0.132 Rh
0.127 0.127 0.619 Rh
0.000 0.000 0.000 Nd
```

Computed properties:
- energy relative to the elements (eV per atom) = -0.8337

=====

Record 5
An optimized crystal structure of TmScZnAg. Source: the Alexandria database, functional PBE.

The structure in POSCAR format:
```
TmScZnAg
1.0
-4.552 -1.766 0.637
-2.416 -2.005 -3.793
-0.796 -4.858 -0.121
Tm Zn Ag Sc
1 1 1 1
direct
0.000 0.000 0.000 Tm
0.750 0.750 0.750 Zn
0.250 0.250 0.250 Ag
0.500 0.500 0.500 Sc
```

Computed properties:
- energy relative to the elements (eV per atom) = -0.3125

=====

Record 6
An optimized crystal structure of Tm5InSn2. Source: the Alexandria database, functional PBE.

The structure in POSCAR format:
```
Tm5InSn2
1.0
4.183 0.000 0.000
-2.091 5.677 0.000
0.000 0.000 18.545
Tm In Sn
10 2 4
direct
0.043 0.085 0.399 Tm
0.422 0.844 0.250 Tm
0.650 0.301 0.974 Tm
0.957 0.915 0.899 Tm
0.350 0.699 0.474 Tm
0.043 0.085 0.101 Tm
0.957 0.915 0.601 Tm
0.350 0.699 0.026 Tm
0.578 0.156 0.750 Tm
0.650 0.301 0.526 Tm
0.852 0.704 0.750 In
0.148 0.296 0.250 In
0.758 0.517 0.145 Sn
0.242 0.483 0.645 Sn
0.242 0.483 0.855 Sn
0.758 0.517 0.355 Sn
```

Computed properties:
- energy relative to the elements (eV per atom) = -0.2963

=====

For reference, uncorrected energy by record: -5.336; -1.873; -5.201; -6.822; -4.045; -4.434 eV per atom.